[1]
Entry from Alexandria via LeMat-Bulk: a relaxed AcTbSe2O crystal (PBE).

```
AcTbSe2O
1.0
4.175 0.000 0.000
0.000 4.175 0.000
0.000 0.000 14.817
Ac Tb Se O
2 2 4 2
Cartesian
1.044 1.044 1.313
3.131 3.131 13.504
1.044 1.044 9.156
3.131 3.131 5.661
1.044 1.044 6.074
1.044 1.044 11.792
3.131 3.131 3.025
3.131 3.131 8.743
1.044 3.131 0.000
3.131 1.044 0.000
```

---

[2]
Entry from Alexandria via LeMat-Bulk: a relaxed NbIn2Au crystal (PBE).

```
NbIn2Au
1.0
1.551 0.896 10.501
-1.551 0.896 10.501
0.000 -1.791 10.501
Nb In Au
1 2 1
Cartesian
0.000 0.000 0.000
0.000 0.000 2.876
0.000 0.000 28.627
0.000 0.000 15.751
```

---

[3]
Entry from Alexandria via LeMat-Bulk: a relaxed Tb2Pm8Dy3 crystal (PBE).

```
Tb2Pm8Dy3
1.0
6.160 0.000 0.000
2.994 6.104 0.000
2.909 -0.742 11.614
Tb Pm Dy
2 8 3
Cartesian
2.851 0.093 4.947
9.213 5.269 6.667
3.436 3.357 3.808
6.312 4.809 8.563
2.574 1.065 1.323
5.497 1.459 9.330
6.567 3.903 2.284
9.489 4.297 10.291
5.752 0.553 3.051
8.627 2.004 7.806
3.459 4.415 0.403
6.032 2.681 5.807
8.604 0.946 11.211
```

---

[4]
Entry from Alexandria via LeMat-Bulk: a relaxed TbDy6Th5 crystal (PBE).

```
TbDy6Th5
1.0
-2.515 5.033 7.557
2.515 -5.033 7.557
2.515 5.033 -7.557
Tb Dy Th
1 6 5
Cartesian
0.000 0.000 0.000
2.515 -2.498 5.019
2.515 2.555 0.000
0.000 2.535 2.538
2.515 2.498 5.019
0.000 2.478 7.557
0.000 7.531 2.538
2.515 0.000 2.528
0.000 0.000 5.031
0.000 5.033 0.000
0.000 0.000 10.084
0.000 5.033 5.029
```

---

[5]
Entry from Alexandria via LeMat-Bulk: a relaxed Dy5Y2In4 crystal (PBE).

```
Dy5Y2In4
1.0
8.609 0.000 0.000
0.000 3.426 0.000
-1.151 0.000 10.473
Dy Y In
5 2 4
Cartesian
0.000 0.000 0.000
-0.093 0.000 3.485
1.908 0.000 8.963
5.549 0.000 1.509
7.550 0.000 6.988
3.155 0.000 3.764
4.303 0.000 6.709
1.520 1.713 6.031
2.462 1.713 1.208
4.995 1.713 9.264
5.937 1.713 4.442
```

---

[6]
Entry from Alexandria via LeMat-Bulk: a relaxed Ca3CdFe crystal (PBE).

```
Ca3CdFe
1.0
5.333 0.000 0.000
0.000 5.333 0.000
0.000 0.000 5.333
Ca Cd Fe
3 1 1
Cartesian
0.000 0.000 2.666
0.000 2.666 0.000
2.666 0.000 0.000
2.666 2.666 2.666
0.000 0.000 0.000
```

---

[7]
Entry from Alexandria via LeMat-Bulk: a relaxed Th6FePt2 crystal (PBE).

```
Th6FePt2
1.0
3.776 0.000 0.000
0.000 7.282 4.201
0.000 -7.282 4.201
Th Fe Pt
6 1 2
Cartesian
0.000 0.000 0.000
0.000 -1.724 5.419
0.000 1.724 5.419
1.888 -4.266 3.957
1.888 0.000 2.931
1.888 4.266 3.957
1.888 0.000 6.410
0.000 -2.429 2.215
0.000 2.429 2.215
```

---

[8]
Entry from Alexandria via LeMat-Bulk: a relaxed BeAu2Br crystal (PBE).

```
BeAu2Br
1.0
3.742 0.000 0.000
0.000 3.742 0.000
0.000 0.000 6.025
Be Au Br
1 2 1
Cartesian
0.000 0.000 0.000
0.000 1.871 3.012
1.871 0.000 3.012
1.871 1.871 0.000
```

---

[9]
Entry from Alexandria via LeMat-Bulk: a relaxed KCd2Rh crystal (PBE).

```
KCd2Rh
1.0
-1.583 2.249 7.705
1.583 -2.249 7.705
1.583 2.249 -7.705
K Cd Rh
1 2 1
Cartesian
0.000 0.000 0.000
1.583 0.000 4.875
0.000 0.000 10.246
0.000 2.249 4.757
```

---

[10]
Entry from Alexandria via LeMat-Bulk: a relaxed VMoIr3 crystal (PBE).

```
VMoIr3
1.0
12.510 0.000 0.000
0.000 5.424 0.000
0.000 0.000 4.414
V Mo Ir
4 4 12
Cartesian
0.653 1.356 1.104
5.602 4.068 1.104
6.908 1.356 3.311
11.857 4.068 3.311
3.127 0.000 0.992
3.127 2.712 1.215
9.382 0.000 3.422
9.382 2.712 3.199
0.710 4.068 1.104
1.631 0.009 3.269
1.631 2.703 3.353
4.623 2.721 3.353
4.623 5.415 3.269
5.545 1.356 1.104
6.964 4.068 3.311
7.886 0.009 1.146
7.886 2.703 1.062
10.878 2.721 1.062
10.878 5.415 1.146
11.800 1.356 3.311
```

---

Number 1: size of the total moment 0.0 μB per formula unit, VASP energy -6.57 eV per atom. Number 2: size of the total moment 0.0 μB per formula unit, VASP energy -4.35 eV per atom. Number 3: size of the total moment 0.0 μB per formula unit, VASP energy -4.63 eV per atom. Number 4: size of the total moment 0.0 μB per formula unit, VASP energy -5.74 eV per atom. Number 5: size of the total moment 0.0 μB per formula unit, VASP energy -4.51 eV per atom. Number 6: size of the total moment 0.0 μB per formula unit, VASP energy -2.73 eV per atom. Number 7: size of the total moment 0.0 μB per formula unit, VASP energy -7.75 eV per atom. Number 8: size of the total moment 0.0 μB per formula unit, VASP energy -2.52 eV per atom. Number 9: size of the total moment 0.0 μB per formula unit, VASP energy -2.55 eV per atom. Number 10: size of the total moment 0.0 μB per formula unit, VASP energy -9.46 eV per atom.